# 1
Compound: BeOsW2
Source: Alexandria
Functional: GGA-PBE
Structure: relaxed

Structure (POSCAR):
```
BeOsW2
1.0
0.0000 3.0567 3.0567
3.0567 0.0000 3.0567
3.0567 3.0567 0.0000
Be Os W
1 1 2
Direct
0.0000 0.0000 0.0000 Be
0.2500 0.2500 0.2500 Os
0.5000 0.5000 0.5000 W
0.7500 0.7500 0.7500 W
```

## Properties
- N(E_F) (states/eV/f.u.) = 3.6
- ΔH_f (0 K) (meV/atom) = 200
- E (eV/atom) = -10.02
- theoretical density (g/cm3) = 16.48

***

# 2
Compound: Ta2ReIr
Source: Alexandria
Functional: GGA-PBE
Structure: relaxed

Structure (POSCAR):
```
Ta2ReIr
1.0
4.8659 -1.4169 0.0000
4.8659 1.4169 0.0000
-0.8023 0.0000 4.7956
Ta Re Ir
2 1 1
Direct
0.0000 0.0000 0.0000 Ta
0.2266 0.2266 0.6846 Ta
0.4729 0.4729 0.4846 Re
0.7487 0.7487 0.1955 Ir
```

## Properties
- N(E_F) (states/eV/f.u.) = 2.5
- ΔH_f (0 K) (meV/atom) = -222
- E (eV/atom) = -11.48
- theoretical density (g/cm3) = 18.59